<one>
Below is a relaxed structure of HoMnOs, with properties calculated at the PBE-GGA level.

Results
**Symmetry**: Imma

Cell and atoms, written as CIF:
```
data_HoMnOs
_chemical_formula_sum 'Ho2 Mn2 Os2'
_symmetry_space_group_name_H-M 'P 1'
_symmetry_Int_Tables_number 1
_symmetry_space_group_name_Hall 'P 1'
_cell_length_a 5.308
_cell_length_b 5.297
_cell_length_c 5.297
_cell_angle_alpha 59.01
_cell_angle_beta 59.93
_cell_angle_gamma 59.93
loop_
_atom_site_label
_atom_site_type_symbol
_atom_site_fract_x
_atom_site_fract_y
_atom_site_fract_z
Ho1 Ho 0.873 0.377 0.377
Ho2 Ho 0.127 0.623 0.623
Mn1 Mn 0.000 0.000 0.000
Mn2 Mn 0.500 0.000 0.000
Os1 Os 0.500 0.000 0.500
Os2 Os 0.500 0.500 0.000
```

---

<two>
Below is a relaxed structure of HoMnOs, with properties calculated at the PBE-GGA level.

Results
**Symmetry**: P4_12_12

Cell and atoms, written as CIF:
```
data_HoMnOs
_chemical_formula_sum 'Ho4 Mn4 Os4'
_symmetry_space_group_name_H-M 'P 1'
_symmetry_Int_Tables_number 1
_symmetry_space_group_name_Hall 'P 1'
_cell_length_a 6.631
_cell_length_b 6.631
_cell_length_c 5.669
_cell_angle_alpha 90.00
_cell_angle_beta 90.00
_cell_angle_gamma 90.00
loop_
_atom_site_label
_atom_site_type_symbol
_atom_site_fract_x
_atom_site_fract_y
_atom_site_fract_z
Mn1 Mn 0.932 0.068 0.750
Mn2 Mn 0.432 0.432 0.000
Mn3 Mn 0.068 0.932 0.250
Mn4 Mn 0.568 0.568 0.500
Ho1 Ho 0.731 0.731 0.000
Ho2 Ho 0.769 0.231 0.250
Ho3 Ho 0.231 0.769 0.750
Ho4 Ho 0.269 0.269 0.500
Os1 Os 0.682 0.318 0.750
Os2 Os 0.182 0.182 0.000
Os3 Os 0.818 0.818 0.500
Os4 Os 0.318 0.682 0.250
```

---

Least stable = <two>

---

<one>
Below is a relaxed structure of HoPaMn2, with properties calculated at the PBE-GGA level.

Results
**Symmetry**: R-3m

Cell and atoms, written as CIF:
```
data_HoPaMn2
_chemical_formula_sum 'Ho1 Pa1 Mn2'
_symmetry_space_group_name_H-M 'P 1'
_symmetry_Int_Tables_number 1
_symmetry_space_group_name_Hall 'P 1'
_cell_length_a 4.326
_cell_length_b 4.326
_cell_length_c 5.475
_cell_angle_alpha 66.73
_cell_angle_beta 66.73
_cell_angle_gamma 60.00
loop_
_atom_site_label
_atom_site_type_symbol
_atom_site_fract_x
_atom_site_fract_y
_atom_site_fract_z
Ho1 Ho 0.000 0.000 0.000
Mn1 Mn 0.794 0.794 0.618
Mn2 Mn 0.206 0.206 0.382
Pa1 Pa 0.500 0.500 0.500
```

---

<two>
Below is a relaxed structure of HoPaMn2, with properties calculated at the PBE-GGA level.

Results
**Symmetry**: P4/mmm

Cell and atoms, written as CIF:
```
data_HoPaMn2
_chemical_formula_sum 'Ho1 Pa1 Mn2'
_symmetry_space_group_name_H-M 'P 1'
_symmetry_Int_Tables_number 1
_symmetry_space_group_name_Hall 'P 1'
_cell_length_a 3.367
_cell_length_b 4.780
_cell_length_c 4.780
_cell_angle_alpha 90.00
_cell_angle_beta 90.00
_cell_angle_gamma 90.00
loop_
_atom_site_label
_atom_site_type_symbol
_atom_site_fract_x
_atom_site_fract_y
_atom_site_fract_z
Mn1 Mn 0.000 0.500 0.000
Mn2 Mn 0.000 0.000 0.500
Pa1 Pa 0.500 0.500 0.500
Ho1 Ho 0.500 0.000 0.000
```

---

<three>
Below is a relaxed structure of HoPaMn2, with properties calculated at the PBE-GGA level.

Results
**Symmetry**: P4/mmm

Cell and atoms, written as CIF:
```
data_HoPaMn2
_chemical_formula_sum 'Ho1 Pa1 Mn2'
_symmetry_space_group_name_H-M 'P 1'
_symmetry_Int_Tables_number 1
_symmetry_space_group_name_Hall 'P 1'
_cell_length_a 3.354
_cell_length_b 3.354
_cell_length_c 6.902
_cell_angle_alpha 90.00
_cell_angle_beta 90.00
_cell_angle_gamma 90.00
loop_
_atom_site_label
_atom_site_type_symbol
_atom_site_fract_x
_atom_site_fract_y
_atom_site_fract_z
Pa1 Pa 0.500 0.500 0.000
Ho1 Ho 0.500 0.500 0.500
Mn1 Mn 0.000 0.000 0.205
Mn2 Mn 0.000 0.000 0.795
```

---

Least stable = <two>

---

<one>
Below is a relaxed structure of HoMnPd2, with properties calculated at the PBE-GGA level.

Results
**Symmetry**: P4/mmm

Cell and atoms, written as CIF:
```
data_HoMnPd2
_chemical_formula_sum 'Ho1 Mn1 Pd2'
_symmetry_space_group_name_H-M 'P 1'
_symmetry_Int_Tables_number 1
_symmetry_space_group_name_Hall 'P 1'
_cell_length_a 3.823
_cell_length_b 4.301
_cell_length_c 4.301
_cell_angle_alpha 90.00
_cell_angle_beta 90.00
_cell_angle_gamma 90.00
loop_
_atom_site_label
_atom_site_type_symbol
_atom_site_fract_x
_atom_site_fract_y
_atom_site_fract_z
Ho1 Ho 0.500 0.500 0.500
Pd1 Pd 0.000 0.500 0.000
Pd2 Pd 0.000 0.000 0.500
Mn1 Mn 0.500 0.000 0.000
```

---

<two>
Below is a relaxed structure of HoMnPd2, with properties calculated at the PBE-GGA level.

Results
**Symmetry**: P4/mmm

Cell and atoms, written as CIF:
```
data_HoMnPd2
_chemical_formula_sum 'Ho1 Mn1 Pd2'
_symmetry_space_group_name_H-M 'P 1'
_symmetry_Int_Tables_number 1
_symmetry_space_group_name_Hall 'P 1'
_cell_length_a 3.341
_cell_length_b 3.341
_cell_length_c 6.502
_cell_angle_alpha 90.00
_cell_angle_beta 90.00
_cell_angle_gamma 90.00
loop_
_atom_site_label
_atom_site_type_symbol
_atom_site_fract_x
_atom_site_fract_y
_atom_site_fract_z
Mn1 Mn 0.500 0.500 0.000
Pd1 Pd 0.000 0.000 0.224
Pd2 Pd 0.000 0.000 0.776
Ho1 Ho 0.500 0.500 0.500
```

---

Least stable = <two>

---

<one>
Below is a relaxed structure of HoMnPd4, with properties calculated at the PBE-GGA level.

Results
**Symmetry**: P4/mmm

Cell and atoms, written as CIF:
```
data_HoMnPd4
_chemical_formula_sum 'Ho1 Mn1 Pd4'
_symmetry_space_group_name_H-M 'P 1'
_symmetry_Int_Tables_number 1
_symmetry_space_group_name_Hall 'P 1'
_cell_length_a 3.949
_cell_length_b 3.949
_cell_length_c 7.548
_cell_angle_alpha 90.00
_cell_angle_beta 90.00
_cell_angle_gamma 90.00
loop_
_atom_site_label
_atom_site_type_symbol
_atom_site_fract_x
_atom_site_fract_y
_atom_site_fract_z
Mn1 Mn 0.001 0.997 0.498
Pd1 Pd 0.001 0.497 0.724
Pd2 Pd 0.001 0.497 0.272
Pd3 Pd 0.501 0.997 0.724
Pd4 Pd 0.501 0.997 0.272
Ho1 Ho 0.501 0.497 0.998
```

---

<two>
Below is a relaxed structure of HoMnPd4, with properties calculated at the PBE-GGA level.

Results
**Symmetry**: F-43m

Cell and atoms, written as CIF:
```
data_HoMnPd4
_chemical_formula_sum 'Ho1 Mn1 Pd4'
_symmetry_space_group_name_H-M 'P 1'
_symmetry_Int_Tables_number 1
_symmetry_space_group_name_Hall 'P 1'
_cell_length_a 5.316
_cell_length_b 5.316
_cell_length_c 5.316
_cell_angle_alpha 60.00
_cell_angle_beta 60.00
_cell_angle_gamma 60.00
loop_
_atom_site_label
_atom_site_type_symbol
_atom_site_fract_x
_atom_site_fract_y
_atom_site_fract_z
Pd1 Pd 0.126 0.625 0.625
Pd2 Pd 0.625 0.625 0.126
Pd3 Pd 0.625 0.625 0.625
Pd4 Pd 0.625 0.126 0.625
Mn1 Mn 0.250 0.250 0.250
Ho1 Ho 0.000 0.000 0.000
```

---

Least stable = <one>

---

<one>
Below is a relaxed structure of HoMnPd6, with properties calculated at the PBE-GGA level.

Results
**Symmetry**: R-3m

Cell and atoms, written as CIF:
```
data_HoMnPd6
_chemical_formula_sum 'Ho1 Mn1 Pd6'
_symmetry_space_group_name_H-M 'P 1'
_symmetry_Int_Tables_number 1
_symmetry_space_group_name_Hall 'P 1'
_cell_length_a 5.362
_cell_length_b 5.362
_cell_length_c 5.362
_cell_angle_alpha 87.59
_cell_angle_beta 87.59
_cell_angle_gamma 87.59
loop_
_atom_site_label
_atom_site_type_symbol
_atom_site_fract_x
_atom_site_fract_y
_atom_site_fract_z
Pd1 Pd 0.539 0.170 0.170
Pd2 Pd 0.830 0.461 0.830
Pd3 Pd 0.170 0.170 0.539
Pd4 Pd 0.461 0.830 0.830
Pd5 Pd 0.170 0.539 0.170
Pd6 Pd 0.830 0.830 0.461
Ho1 Ho 0.000 0.000 0.000
Mn1 Mn 0.500 0.500 0.500
```

---

<two>
Below is a relaxed structure of HoMnPd6, with properties calculated at the PBE-GGA level.

Results
**Symmetry**: P4/mmm

Cell and atoms, written as CIF:
```
data_HoMnPd6
_chemical_formula_sum 'Ho1 Mn1 Pd6'
_symmetry_space_group_name_H-M 'P 1'
_symmetry_Int_Tables_number 1
_symmetry_space_group_name_Hall 'P 1'
_cell_length_a 4.034
_cell_length_b 4.034
_cell_length_c 8.000
_cell_angle_alpha 90.00
_cell_angle_beta 90.00
_cell_angle_gamma 90.00
loop_
_atom_site_label
_atom_site_type_symbol
_atom_site_fract_x
_atom_site_fract_y
_atom_site_fract_z
Pd1 Pd 0.500 0.500 0.000
Pd2 Pd 0.500 0.500 0.500
Pd3 Pd 0.500 0.000 0.737
Pd4 Pd 0.000 0.500 0.263
Pd5 Pd 0.500 0.000 0.263
Pd6 Pd 0.000 0.500 0.737
Mn1 Mn 0.000 0.000 0.500
Ho1 Ho 0.000 0.000 0.000
```

---

Least stable = <one>

---

<one>
Below is a relaxed structure of HoMnRe, with properties calculated at the PBE-GGA level.

Results
**Symmetry**: P4_12_12

Cell and atoms, written as CIF:
```
data_HoMnRe
_chemical_formula_sum 'Ho4 Mn4 Re4'
_symmetry_space_group_name_H-M 'P 1'
_symmetry_Int_Tables_number 1
_symmetry_space_group_name_Hall 'P 1'
_cell_length_a 6.571
_cell_length_b 6.571
_cell_length_c 5.738
_cell_angle_alpha 90.00
_cell_angle_beta 90.00
_cell_angle_gamma 90.00
loop_
_atom_site_label
_atom_site_type_symbol
_atom_site_fract_x
_atom_site_fract_y
_atom_site_fract_z
Re1 Re 0.811 0.811 0.500
Re2 Re 0.689 0.311 0.750
Re3 Re 0.189 0.189 0.000
Re4 Re 0.311 0.689 0.250
Ho1 Ho 0.761 0.239 0.250
Ho2 Ho 0.739 0.739 0.000
Ho3 Ho 0.239 0.761 0.750
Ho4 Ho 0.261 0.261 0.500
Mn1 Mn 0.057 0.943 0.250
Mn2 Mn 0.557 0.557 0.500
Mn3 Mn 0.443 0.443 0.000
Mn4 Mn 0.943 0.057 0.750
```

---

<two>
Below is a relaxed structure of HoMnRe, with properties calculated at the PBE-GGA level.

Results
**Symmetry**: Imma

Cell and atoms, written as CIF:
```
data_HoMnRe
_chemical_formula_sum 'Ho2 Mn2 Re2'
_symmetry_space_group_name_H-M 'P 1'
_symmetry_Int_Tables_number 1
_symmetry_space_group_name_Hall 'P 1'
_cell_length_a 5.299
_cell_length_b 5.299
_cell_length_c 5.299
_cell_angle_alpha 90.07
_cell_angle_beta 121.53
_cell_angle_gamma 118.42
loop_
_atom_site_label
_atom_site_type_symbol
_atom_site_fract_x
_atom_site_fract_y
_atom_site_fract_z
Ho1 Ho 0.750 0.873 0.123
Ho2 Ho 0.250 0.127 0.877
Re1 Re 0.000 0.500 0.000
Re2 Re 0.500 0.500 0.500
Mn1 Mn 0.500 0.000 0.500
Mn2 Mn 0.000 0.500 0.500
```

---

Least stable = <one>

---

<one>
Below is a relaxed structure of HoMn2Re, with properties calculated at the PBE-GGA level.

Results
**Symmetry**: R-3m

Cell and atoms, written as CIF:
```
data_HoMn2Re
_chemical_formula_sum 'Ho1 Mn2 Re1'
_symmetry_space_group_name_H-M 'P 1'
_symmetry_Int_Tables_number 1
_symmetry_space_group_name_Hall 'P 1'
_cell_length_a 2.943
_cell_length_b 2.943
_cell_length_c 9.233
_cell_angle_alpha 80.83
_cell_angle_beta 80.83
_cell_angle_gamma 60.00
loop_
_atom_site_label
_atom_site_type_symbol
_atom_site_fract_x
_atom_site_fract_y
_atom_site_fract_z
Re1 Re 0.000 0.000 0.000
Ho1 Ho 0.500 0.500 0.500
Mn1 Mn 0.261 0.261 0.218
Mn2 Mn 0.739 0.739 0.782
```

---

<two>
Below is a relaxed structure of HoMn2Re, with properties calculated at the PBE-GGA level.

Results
**Symmetry**: P2/c

Cell and atoms, written as CIF:
```
data_HoMn2Re
_chemical_formula_sum 'Ho4 Mn8 Re4'
_symmetry_space_group_name_H-M 'P 1'
_symmetry_Int_Tables_number 1
_symmetry_space_group_name_Hall 'P 1'
_cell_length_a 7.693
_cell_length_b 9.808
_cell_length_c 6.334
_cell_angle_alpha 90.00
_cell_angle_beta 90.00
_cell_angle_gamma 141.61
loop_
_atom_site_label
_atom_site_type_symbol
_atom_site_fract_x
_atom_site_fract_y
_atom_site_fract_z
Mn1 Mn 0.858 0.358 0.391
Mn2 Mn 0.500 0.000 0.500
Mn3 Mn 0.500 0.500 0.500
Mn4 Mn 0.858 0.858 0.609
Mn5 Mn 0.000 0.000 0.000
Mn6 Mn 0.142 0.642 0.609
Mn7 Mn 0.000 0.500 0.000
Mn8 Mn 0.142 0.142 0.391
Ho1 Ho 0.000 0.750 0.274
Ho2 Ho 0.500 0.250 0.727
Ho3 Ho 0.500 0.750 0.273
Ho4 Ho 0.000 0.250 0.726
Re1 Re 0.000 0.250 0.217
Re2 Re 0.500 0.750 0.782
Re3 Re 0.000 0.750 0.783
Re4 Re 0.500 0.250 0.218
```

---

Least stable = <one>

---

<one>
Below is a relaxed structure of HoMnS3, with properties calculated at the PBE-GGA level.

Results
**Symmetry**: Pnma

Cell and atoms, written as CIF:
```
data_HoMnS3
_chemical_formula_sum 'Ho4 Mn4 S12'
_symmetry_space_group_name_H-M 'P 1'
_symmetry_Int_Tables_number 1
_symmetry_space_group_name_Hall 'P 1'
_cell_length_a 3.598
_cell_length_b 7.746
_cell_length_c 13.471
_cell_angle_alpha 90.00
_cell_angle_beta 90.00
_cell_angle_gamma 90.00
loop_
_atom_site_label
_atom_site_type_symbol
_atom_site_fract_x
_atom_site_fract_y
_atom_site_fract_z
Ho1 Ho 0.750 0.347 0.692
Ho2 Ho 0.250 0.653 0.308
Ho3 Ho 0.750 0.847 0.808
Ho4 Ho 0.250 0.153 0.192
S1 S 0.250 0.019 0.386
S2 S 0.750 0.861 0.204
S3 S 0.250 0.139 0.796
S4 S 0.750 0.481 0.886
S5 S 0.250 0.519 0.114
S6 S 0.750 0.166 0.035
S7 S 0.750 0.361 0.296
S8 S 0.750 0.666 0.465
S9 S 0.250 0.639 0.704
S10 S 0.750 0.981 0.614
S11 S 0.250 0.334 0.535
S12 S 0.250 0.834 0.965
Mn1 Mn 0.250 0.319 0.954
Mn2 Mn 0.750 0.681 0.046
Mn3 Mn 0.250 0.819 0.546
Mn4 Mn 0.750 0.181 0.454
```

---

<two>
Below is a relaxed structure of HoMnS3, with properties calculated at the PBE-GGA level.

Results
**Symmetry**: R-3

Cell and atoms, written as CIF:
```
data_HoMnS3
_chemical_formula_sum 'Ho2 Mn2 S6'
_symmetry_space_group_name_H-M 'P 1'
_symmetry_Int_Tables_number 1
_symmetry_space_group_name_Hall 'P 1'
_cell_length_a 6.501
_cell_length_b 6.501
_cell_length_c 6.919
_cell_angle_alpha 61.97
_cell_angle_beta 61.96
_cell_angle_gamma 59.99
loop_
_atom_site_label
_atom_site_type_symbol
_atom_site_fract_x
_atom_site_fract_y
_atom_site_fract_z
Ho1 Ho 0.355 0.355 0.935
Ho2 Ho 0.645 0.645 0.065
S1 S 0.787 0.437 0.734
S2 S 0.213 0.563 0.266
S3 S 0.437 0.042 0.734
S4 S 0.958 0.213 0.266
S5 S 0.042 0.787 0.734
S6 S 0.563 0.958 0.266
Mn1 Mn 0.842 0.842 0.474
Mn2 Mn 0.158 0.158 0.526
```

---

Least stable = <two>

---

<one>
Below is a relaxed structure of Ho2ScMn, with properties calculated at the PBE-GGA level.

Results
**Symmetry**: P4/mmm

Cell and atoms, written as CIF:
```
data_Ho2ScMn
_chemical_formula_sum 'Ho2 Sc1 Mn1'
_symmetry_space_group_name_H-M 'P 1'
_symmetry_Int_Tables_number 1
_symmetry_space_group_name_Hall 'P 1'
_cell_length_a 4.130
_cell_length_b 4.876
_cell_length_c 4.876
_cell_angle_alpha 90.00
_cell_angle_beta 90.00
_cell_angle_gamma 90.00
loop_
_atom_site_label
_atom_site_type_symbol
_atom_site_fract_x
_atom_site_fract_y
_atom_site_fract_z
Ho1 Ho 0.000 0.500 0.000
Ho2 Ho 0.000 0.000 0.500
Mn1 Mn 0.500 0.000 0.000
Sc1 Sc 0.500 0.500 0.500
```

---

<two>
Below is a relaxed structure of Ho2ScMn, with properties calculated at the PBE-GGA level.

Results
**Symmetry**: R-3m

Cell and atoms, written as CIF:
```
data_Ho2ScMn
_chemical_formula_sum 'Ho2 Sc1 Mn1'
_symmetry_space_group_name_H-M 'P 1'
_symmetry_Int_Tables_number 1
_symmetry_space_group_name_Hall 'P 1'
_cell_length_a 3.295
_cell_length_b 3.295
_cell_length_c 11.183
_cell_angle_alpha 81.53
_cell_angle_beta 81.53
_cell_angle_gamma 60.00
loop_
_atom_site_label
_atom_site_type_symbol
_atom_site_fract_x
_atom_site_fract_y
_atom_site_fract_z
Ho1 Ho 0.084 0.084 0.747
Ho2 Ho 0.916 0.916 0.253
Sc1 Sc 0.500 0.500 0.500
Mn1 Mn 0.000 0.000 0.000
```

---

Least stable = <two>